An optimized crystal structure of LiLaSn2, computed with GGA-PBE.

Results
Crystal system: trigonal
Formation energy from the elements (eV per atom): -0.5534
Space group: R-3m, No. 166
Spin magnetization (μB per formula unit): 0.00

abc: 4.6366 4.6366 6.2295
angles: 68.15 68.15 60.00
With the nearest neighbours (Å) after each atom.
Sites, in units of the cell vectors:
Sn 0.7813 0.7813 0.6561  3 Li 2.82
Sn 0.2187 0.2187 0.3439  3 Li 2.82
Li 0.5000 0.5000 0.5000  6 Sn 2.82
La 0.0000 0.0000 0.0000  8 Sn 3.30-3.69